An optimized crystal structure of CeHo2TmSe4, computed with PBE.

The formation energy (no corrections) comes out at -1.732 eV/atom.

The space group is P2/m (No. 10) and the conventional cell measures 7.061, 4.048 and 7.120 Å, with angles of 90.00, 109.00 and 90.00 degrees. The inequivalent atoms are Ce at (0.000, 0.000, 0.000), Ho at (0.500, 0.000, 0.500), Ho at (0.500, 0.500, 0.000), Tm at (0.000, 0.500, 0.500), Se at (0.251, 0.000, 0.743) and Se at (0.257, 0.500, 0.260).